(1)
Material: CuOsCl2
Method: DFT, PBE-GGA
State: optimized geometry

a = 2.9347 Å, b = 5.9518 Å, c = 3.9467 Å
α = 90.00°, β = 90.00°, γ = 90.00°
Last column: nearest neighbours and their distance in Å.
Fractional coordinates of all 4 atoms:
Os 0.0000 0.5000 0.5000  4 Cl 2.46
Cl 0.0000 0.0000 0.0000  4 Cu 2.46
Cu 0.5000 0.0000 0.5000  4 Cl 2.46
Cl 0.5000 0.5000 0.0000  4 Os 2.46

Results
For the total moment, the calculation gives 1.5 μB/cell. The value obtained for the volume is 68.9 Å³/cell. For the relative energy among the computed polymorphs, the calculation gives 627 meV per atom. For the density of states at the Fermi level, the calculation gives 3.50 states/eV per cell. The calculated density comes out at 7.821 g/cm³. Its space group is Pmmm (47). As for the raw formation energy: 0.849 eV per atom.

***

(2)
Material: ErHgI2
Method: DFT, PBE-GGA
State: optimized geometry

a = 4.0660 Å, b = 4.0660 Å, c = 12.4079 Å
α = 80.57°, β = 80.57°, γ = 60.00°
Last column: nearest neighbours and their distance in Å.
Fractional coordinates of all 4 atoms:
Er 0.5000 0.5000 0.5000  6 I 3.06
Hg 0.0000 0.0000 0.0000  6 Hg 4.07, 2 I 4.14
I 0.8868 0.8868 0.3395  3 Er 3.06
I 0.1132 0.1132 0.6605  3 Er 3.06

Results
For the total moment, the calculation gives 0.0 μB/cell. The value obtained for the volume is 174.4 Å³/cell. For the density of states at the Fermi level, the calculation gives 1.77 states/eV per cell. The calculated density comes out at 5.918 g/cm³. Its space group is R-3m (166). As for the raw formation energy: -0.841 eV per atom.

***

(3)
Material: Pr2NdPd
Method: DFT, PBE-GGA
State: optimized geometry

a = 6.6567 Å, b = 7.3053 Å, c = 10.2355 Å
α = 90.00°, β = 90.00°, γ = 90.00°
Last column: nearest neighbours and their distance in Å.
Fractional coordinates of all 16 atoms:
Nd 0.1444 0.9741 0.7500  2 Pd 2.98-3.02
Pd 0.4292 0.8833 0.2500  2 Nd 2.98-3.02, 4 Pr 2.98-3.00
Nd 0.6444 0.5259 0.2500  2 Pd 2.98-3.02
Pr 0.3321 0.1807 0.0606  2 Pd 2.98-3.00
Pr 0.1679 0.6807 0.0606  2 Pd 2.98-3.00
Pd 0.5708 0.1167 0.7500  2 Nd 2.98-3.02, 4 Pr 2.98-3.00
Nd 0.3556 0.4741 0.7500  2 Pd 2.98-3.02
Pr 0.8321 0.3193 0.9394  2 Pd 2.98-3.00
Pr 0.6679 0.8193 0.9394  2 Pd 2.98-3.00
Pd 0.9292 0.6167 0.7500  2 Nd 2.98-3.02, 4 Pr 2.98-3.00
Pr 0.1679 0.6807 0.4394  2 Pd 2.98-3.00
Pr 0.8321 0.3193 0.5606  2 Pd 2.98-3.00
Pr 0.3321 0.1807 0.4394  2 Pd 2.98-3.00
Pr 0.6679 0.8193 0.5606  2 Pd 2.98-3.00
Pd 0.0708 0.3833 0.2500  2 Nd 2.98-3.02, 4 Pr 2.98-3.00
Nd 0.8556 0.0259 0.2500  2 Pd 2.98-3.02

Results
For the total moment, the calculation gives 0.0 μB/cell. The value obtained for the volume is 497.7 Å³/cell. For the relative energy among the computed polymorphs, the calculation gives 0 meV per atom. For the density of states at the Fermi level, the calculation gives 18.21 states/eV per cell. The calculated density comes out at 7.106 g/cm³. Its space group is Pnma (62).

***

(4)
Material: Nb2PdRh
Method: DFT, PBE-GGA
State: optimized geometry

a = 7.1694 Å, b = 7.1694 Å, c = 5.7676 Å
α = 51.57°, β = 51.57°, γ = 90.00°
Last column: nearest neighbours and their distance in Å.
Fractional coordinates of all 8 atoms:
Rh 0.5000 0.5000 0.0000  4 Nb 2.56, 2 Pd 2.75
Nb 0.8750 0.8602 0.7500  2 Rh 2.56, 2 Pd 2.70, 2 Nb 2.76
Rh 0.2500 0.7500 0.5000  4 Nb 2.56, 2 Pd 2.75
Nb 0.3750 0.3898 0.7500  2 Rh 2.56, 2 Pd 2.70, 2 Nb 2.76
Nb 0.1398 0.6250 0.2500  2 Rh 2.56, 2 Pd 2.70, 2 Nb 2.76
Nb 0.6102 0.1250 0.2500  2 Rh 2.56, 2 Pd 2.70, 2 Nb 2.76
Pd 0.0000 0.0000 0.0000  4 Nb 2.70, 2 Rh 2.75
Pd 0.7500 0.2500 0.5000  4 Nb 2.70, 2 Rh 2.75

Results
For the total moment, the calculation gives 0.0 μB/cell. The value obtained for the volume is 141.4 Å³/cell. Its total energy is -64.67 eV/cell. For the density of states at the Fermi level, the calculation gives 5.53 states/eV per cell. The calculated density comes out at 9.282 g/cm³. Its space group is I-42d (122).